A plane-wave DFT calculation with PBE+U was carried out for a relaxed structure of Cr2InSnO.

Lattice parameters (Å, degrees): 4.303 4.303 5.133 90.00 90.00 90.00
Positions (direct):
Cr 0.000 0.500 0.000
Cr 0.500 0.000 0.000
In 0.000 0.000 0.500
Sn 0.500 0.500 0.500
O 0.000 0.000 0.000

Properties
- calculated total energy (eV/atom) = -5.66
- ρ (g/cm3) = 6.18
- SG = No. 123
- total magnetization (μB/atom) = 1.6845